Entry from the Alexandria database: Nb2NiC after structural relaxation (PBE).

Lattice parameters (Å, degrees): 6.258 6.258 5.683 90.00 90.00 90.00
Space group I-42d (No. 122)
Asymmetric unit:
Nb  0.206  0.250  0.125
Ni  0.000  0.000  0.500
C  0.000  0.000  0.000

Summary:
The value obtained for the magnetization is 0.00 μB/f.u. As for the total energy: -8.620 eV/atom. For the formation energy, the calculation gives 166 meV per atom.